A relaxed Cs3Cu2I2Br4 crystal. Source: Alexandria via LeMat-Bulk, functional PBE.

Results
DOS(E_F) (states/eV/cell): 14.462
Size of the total moment (μB per atom): 0.000
DFT total energy (eV for the cell shown): -63.35

Cell lengths 5.236, 5.236, 30.436 Å; angles 90.00, 90.00, 90.00 degrees
Space group I4/mmm (No. 139)
Unique sites:
Cs1 0.000 0.000 0.000 x2
Cs2 0.000 0.000 0.173 x4
Cu1 0.000 0.000 0.395 x4
I1 0.000 0.000 0.307 x4
Br1 0.000 0.500 0.086 x8

---

A relaxed CsCuIBr6 crystal. Source: Alexandria via LeMat-Bulk, functional PBE.

Results
DOS(E_F) (states/eV/cell): 0.194
Size of the total moment (μB per atom): 0.111
DFT total energy (eV for the cell shown): -21.16

Cell lengths 6.136, 7.185, 9.333 Å; angles 88.99, 81.57, 68.88 degrees
Space group P1 (No. 1)
Unique sites:
Cs1 0.000 0.000 0.000 x1
Cu1 0.513 0.665 0.279 x1
I1 0.371 0.395 0.621 x1
Br1 0.197 0.760 0.494 x1
Br2 0.450 0.999 0.221 x1
Br3 0.545 0.533 0.039 x1
Br4 0.565 0.037 0.728 x1
Br5 0.757 0.366 0.381 x1
Br6 0.982 0.492 0.817 x1

---

A relaxed Cs3Cu2IBr9 crystal. Source: Alexandria via LeMat-Bulk, functional PBE.

Results
DOS(E_F) (states/eV/cell): 4.901
Size of the total moment (μB per atom): 0.000
DFT total energy (eV for the cell shown): -39.72

Cell lengths 7.7486, 7.7486, 9.5195 Å; angles 90.00, 90.00, 120.00 degrees
Space group P-3m1 (No. 164)
Unique sites:
Cs1 0.0000 0.0000 0.0000 x1
Cs2 0.3333 0.6667 0.6770 x2
Cu1 0.3333 0.6667 0.1531 x2
I1 0.0000 0.0000 0.5000 x1
Br1 0.0000 0.5000 0.0000 x3
Br2 0.1812 0.3624 0.3147 x6

---

A relaxed CsCuIBr2 crystal. Source: Alexandria via LeMat-Bulk, functional PBE.

Results
DOS(E_F) (states/eV/cell): 1.579
Size of the total moment (μB per atom): 0.000
DFT total energy (eV for the cell shown): -13.75

Cell lengths 5.384, 5.384, 5.477 Å; angles 90.00, 90.00, 90.00 degrees
Space group P4/mmm (No. 123)
Unique sites:
Cs1 0.000 0.000 0.000 x1
Cu1 0.500 0.500 0.500 x1
I1 0.500 0.500 0.000 x1
Br1 0.000 0.500 0.500 x2

---

A relaxed Cs3Cu2I4Br2 crystal. Source: Alexandria via LeMat-Bulk, functional PBE.

Results
DOS(E_F) (states/eV/cell): 4.920
Size of the total moment (μB per atom): 0.000
DFT total energy (eV for the cell shown): -61.68

Cell lengths 5.431, 5.431, 30.872 Å; angles 90.00, 90.00, 90.00 degrees
Space group I4/mmm (No. 139)
Unique sites:
Cs1 0.000 0.000 0.000 x2
Cs2 0.000 0.000 0.185 x4
Cu1 0.000 0.000 0.388 x4
I1 0.000 0.500 0.091 x8
Br1 0.000 0.000 0.306 x4

---

A relaxed Cs2CuI3Br crystal. Source: Alexandria via LeMat-Bulk, functional PBE.

Results
DOS(E_F) (states/eV/cell): 6.145
Size of the total moment (μB per atom): 0.000
DFT total energy (eV for the cell shown): -37.56

Cell lengths 5.529, 6.195, 17.991 Å; angles 90.00, 90.00, 90.00 degrees
Space group Immm (No. 71)
Unique sites:
Cs1 0.000 0.000 0.132 x4
Cu1 0.000 0.000 0.500 x2
I1 0.000 0.000 0.354 x4
I2 0.000 0.500 0.000 x2
Br1 0.000 0.500 0.500 x2

---

A relaxed Cs2InCuBr6 crystal. Source: Alexandria via LeMat-Bulk, functional PBE.

Results
DOS(E_F) (states/eV/cell): 12.847
Size of the total moment (μB per atom): 0.000
DFT total energy (eV for the cell shown): -118.10

Cell lengths 10.936, 10.936, 10.936 Å; angles 90.00, 90.00, 90.00 degrees
Space group Fm-3m (No. 225)
Unique sites:
Cs1 0.250 0.250 0.250 x8
In1 0.000 0.000 0.000 x4
Cu1 0.000 0.000 0.500 x4
Br1 0.000 0.000 0.254 x24

---

A relaxed CsInCu2Br8 crystal. Source: Alexandria via LeMat-Bulk, functional PBE.

Results
DOS(E_F) (states/eV/cell): 41.116
Size of the total moment (μB per atom): 0.179
DFT total energy (eV for the cell shown): -99.11

Cell lengths 6.8316, 6.8316, 29.8686 Å; angles 90.00, 90.00, 120.00 degrees
Space group R-3 (No. 148, hexagonal axes)
Unique sites:
Cs1 0.0000 0.0000 0.0000 x3
In1 0.0000 0.0000 0.5000 x3
Cu1 0.0000 0.0000 0.2408 x6
Br1 0.0000 0.0000 0.3197 x6
Br2 0.0037 0.3457 0.2202 x18

---

A relaxed Cs3InCu2Br9 crystal. Source: Alexandria via LeMat-Bulk, functional PBE.

Results
DOS(E_F) (states/eV/cell): 6.181
Size of the total moment (μB per atom): 0.003
DFT total energy (eV for the cell shown): -43.90

Cell lengths 7.6465, 7.6465, 9.4190 Å; angles 90.00, 90.00, 120.00 degrees
Space group P-3m1 (No. 164)
Unique sites:
Cs1 0.0000 0.0000 0.0000 x1
Cs2 0.3333 0.6667 0.6680 x2
In1 0.0000 0.0000 0.5000 x1
Cu1 0.3333 0.6667 0.1376 x2
Br1 0.0000 0.5000 0.0000 x3
Br2 0.1690 0.3381 0.3309 x6

---

A relaxed Cs2CuIrBr6 crystal. Source: Alexandria via LeMat-Bulk, functional PBE.

Results
DOS(E_F) (states/eV/cell): 9.760
Size of the total moment (μB per atom): 0.000
DFT total energy (eV for the cell shown): -65.31

Cell lengths 7.474, 7.474, 10.620 Å; angles 90.00, 90.00, 90.00 degrees
Space group I4/mmm (No. 139)
Unique sites:
Cs1 0.000 0.500 0.250 x4
Cu1 0.000 0.000 0.000 x2
Ir1 0.000 0.000 0.500 x2
Br1 0.000 0.000 0.258 x4
Br2 0.243 0.243 0.500 x8

---

A relaxed CsKCu2Br6 crystal. Source: Alexandria via LeMat-Bulk, functional PBE.

Results
DOS(E_F) (states/eV/cell): 12.798
Size of the total moment (μB per atom): 0.000
DFT total energy (eV for the cell shown): -114.64

Cell lengths 12.034, 14.542, 10.040 Å; angles 90.00, 113.29, 90.00 degrees
Space group C2/c (No. 15)
Unique sites:
Cs1 0.000 0.136 0.250 x4
K1 0.000 0.450 0.750 x4
Cu1 0.229 0.139 0.688 x8
Br1 0.087 0.357 0.109 x8
Br2 0.155 0.285 0.638 x8
Br3 0.194 0.007 0.092 x8

---

A relaxed CsKCu2Br5 crystal. Source: Alexandria via LeMat-Bulk, functional PBE.

Results
DOS(E_F) (states/eV/cell): 3.264
Size of the total moment (μB per atom): 0.000
DFT total energy (eV for the cell shown): -26.99

Cell lengths 5.077, 5.077, 10.621 Å; angles 90.00, 90.00, 90.00 degrees
Space group P4/mmm (No. 123)
Unique sites:
Cs1 0.000 0.000 0.000 x1
K1 0.000 0.000 0.500 x1
Cu1 0.500 0.500 0.246 x2
Br1 0.000 0.500 0.289 x4
Br2 0.500 0.500 0.000 x1

---

A relaxed Cs2KCu2Br6 crystal. Source: Alexandria via LeMat-Bulk, functional PBE.

Results
DOS(E_F) (states/eV/cell): 9.106
Size of the total moment (μB per atom): 0.097
DFT total energy (eV for the cell shown): -66.56

Cell lengths 13.899, 7.607, 9.449 Å; angles 90.00, 116.70, 90.00 degrees
Space group C2/m (No. 12)
Unique sites:
Cs1 0.203 0.000 0.199 x4
K1 0.000 0.000 0.500 x2
Cu1 0.049 0.500 0.249 x4
Br1 0.062 0.249 0.815 x8
Br2 0.236 0.500 0.371 x4

---

A relaxed Cs2KCu2Br7 crystal. Source: Alexandria via LeMat-Bulk, functional PBE.

Results
DOS(E_F) (states/eV/cell): 6.536
Size of the total moment (μB per atom): 0.000
DFT total energy (eV for the cell shown): -69.93

Cell lengths 5.293, 5.293, 27.619 Å; angles 90.00, 90.00, 90.00 degrees
Space group I4/mmm (No. 139)
Unique sites:
Cs1 0.000 0.000 0.179 x4
K1 0.000 0.000 0.000 x2
Cu1 0.000 0.000 0.407 x4
Br1 0.000 0.000 0.316 x4
Br2 0.000 0.000 0.500 x2
Br3 0.000 0.500 0.087 x8

---

A relaxed CsK2Cu2Br6 crystal. Source: Alexandria via LeMat-Bulk, functional PBE.

Results
DOS(E_F) (states/eV/cell): 8.818
Size of the total moment (μB per atom): 0.100
DFT total energy (eV for the cell shown): -33.25

Cell lengths 6.898, 8.280, 8.359 Å; angles 103.06, 103.45, 109.34 degrees
Space group P-1 (No. 2)
Unique sites:
Cs1 0.000 0.000 0.000 x1
K1 0.448 0.700 0.283 x2
Cu1 0.182 0.590 0.674 x2
Br1 0.167 0.373 0.402 x2
Br2 0.171 0.409 0.864 x2
Br3 0.450 0.882 0.713 x2

---

A relaxed CsLaCuBr6 crystal. Source: Alexandria via LeMat-Bulk, functional PBE.

Results
DOS(E_F) (states/eV/cell): 0.086
Size of the total moment (μB per atom): 0.115
DFT total energy (eV for the cell shown): -32.20

Cell lengths 7.035, 7.051, 8.138 Å; angles 95.85, 96.40, 109.09 degrees
Space group P1 (No. 1)
Unique sites:
Cs1 0.000 0.000 0.000 x1
La1 0.372 0.630 0.500 x1
Cu1 0.734 0.270 0.498 x1
Br1 0.058 0.567 0.225 x1
Br2 0.068 0.304 0.645 x1
Br3 0.434 0.936 0.778 x1
Br4 0.482 0.315 0.289 x1
Br5 0.689 0.934 0.351 x1
Br6 0.694 0.520 0.708 x1

---

A relaxed CsLaCuBr5 crystal. Source: Alexandria via LeMat-Bulk, functional PBE.

Results
DOS(E_F) (states/eV/cell): 0.000
Size of the total moment (μB per atom): 0.020
DFT total energy (eV for the cell shown): -120.98

Cell lengths 9.778, 12.924, 11.063 Å; angles 90.00, 113.21, 90.00 degrees
Space group C2/c (No. 15)
Unique sites:
Cs1 0.000 0.147 0.250 x4
La1 0.000 0.500 0.000 x4
Cu1 0.000 0.192 0.750 x4
Br1 0.000 0.421 0.250 x4
Br2 0.102 0.293 0.614 x8
Br3 0.193 0.079 0.917 x8

---

A relaxed CsLaCu2Br8 crystal. Source: Alexandria via LeMat-Bulk, functional PBE.

Results
DOS(E_F) (states/eV/cell): 16.607
Size of the total moment (μB per atom): 0.181
DFT total energy (eV for the cell shown): -39.31

Cell lengths 7.8048, 7.8048, 10.0152 Å; angles 90.00, 90.00, 120.00 degrees
Space group P-3m1 (No. 164)
Unique sites:
Cs1 0.0000 0.0000 0.0000 x1
La1 0.0000 0.0000 0.5000 x1
Cu1 0.3333 0.6667 0.2197 x2
Br1 0.1665 0.3329 0.3127 x6
Br2 0.3333 0.6667 0.9890 x2

---

A relaxed Cs2LaCuBr6 crystal. Source: Alexandria via LeMat-Bulk, functional PBE.

Results
DOS(E_F) (states/eV/cell): 0.000
Size of the total moment (μB per atom): 0.011
DFT total energy (eV for the cell shown): -36.39

Cell lengths 8.0233, 8.0233, 6.7788 Å; angles 90.00, 90.00, 120.00 degrees
Space group P-3m1 (No. 164)
Unique sites:
Cs1 0.3333 0.6667 0.2750 x2
La1 0.0000 0.0000 0.0000 x1
Cu1 0.0000 0.0000 0.5000 x1
Br1 0.1646 0.3291 0.7306 x6

---

A relaxed CsLiCuBr4 crystal. Source: Alexandria via LeMat-Bulk, functional PBE.

Results
DOS(E_F) (states/eV/cell): 11.612
Size of the total moment (μB per atom): 0.149
DFT total energy (eV for the cell shown): -41.80

Cell lengths 6.514, 7.782, 10.037 Å; angles 90.00, 108.02, 90.00 degrees
Space group P2_1/m (No. 11)
Unique sites:
Cs1 0.215 0.250 0.389 x2
Li1 0.165 0.250 0.810 x2
Cu1 0.345 0.750 0.196 x2
Br1 0.023 0.750 0.005 x2
Br2 0.189 0.750 0.396 x2
Br3 0.405 0.013 0.765 x4

---

A relaxed CsLi2CuBr4 crystal. Source: Alexandria via LeMat-Bulk, functional PBE.

Results
DOS(E_F) (states/eV/cell): 0.000
Size of the total moment (μB per atom): 0.018
DFT total energy (eV for the cell shown): -50.41

Cell lengths 6.959, 6.959, 10.120 Å; angles 90.00, 90.00, 90.00 degrees
Space group I-42m (No. 121)
Unique sites:
Cs1 0.000 0.000 0.000 x2
Li1 0.000 0.500 0.250 x4
Cu1 0.000 0.000 0.500 x2
Br1 0.191 0.191 0.338 x8